#i
Entry from Alexandria via LeMat-Bulk: an optimized crystal structure of LaSc2Mo (GGA-PBE).

Geometry as POSCAR:
```
LaSc2Mo
1.0
1.808 -2.627 0.000
1.808 2.627 0.000
0.000 0.000 10.096
La Sc Mo
1 2 1
Cartesian
0.000 0.000 0.000 La
0.000 0.000 4.284 Sc
1.808 0.000 6.926 Sc
1.808 0.000 2.216 Mo
```

#ii
Entry from Alexandria via LeMat-Bulk: an optimized crystal structure of LaSc2Mo (GGA-PBE).

Geometry as POSCAR:
```
LaSc2Mo
1.0
3.246 0.000 0.000
0.000 4.809 0.000
-1.612 0.000 5.922
La Sc Mo
1 2 1
Cartesian
0.000 0.000 0.000 La
0.084 2.405 4.236 Sc
1.551 2.405 1.686 Sc
-0.806 0.000 2.961 Mo
```

Of them, the most stable is #ii and the least stable is #i.